1.
Density functional theory data (PBE-GGA) for crystalline BaDyIn at its relaxed geometry.

Unit cell a=7.611 b=7.611 c=7.611 alpha=90.00 beta=90.00 gamma=90.00
Space group F-43m (No. 216)
Inequivalent atoms, fractional coordinates:
Ba1 0.000 0.000 0.000
Dy1 0.250 0.250 0.250
In1 0.000 0.000 0.500

* VASP energy: -8.76 eV per formula unit
* size of the total moment: 0.001 μB/f.u.

***

2.
Density functional theory data (PBE-GGA) for crystalline ZrCdS3 at its relaxed geometry.

Unit cell a=9.159 b=3.769 c=13.475 alpha=90.00 beta=90.00 gamma=90.00
Space group Pnma (No. 62)
Inequivalent atoms, fractional coordinates:
Zr1 0.173 0.250 0.038
Cd1 0.023 0.250 0.629
S1 0.018 0.750 0.109
S2 0.176 0.250 0.445
S3 0.180 0.750 0.695

* VASP energy: -26.88 eV per formula unit
* size of the total moment: 0.008 μB/f.u.

***

3.
Density functional theory data (PBE-GGA) for crystalline Zr3Cu2Pb2 at its relaxed geometry.

Unit cell a=4.7772 b=4.7772 c=23.9047 alpha=90.00 beta=90.00 gamma=120.00
Space group R3m (No. 160, hexagonal axes)
Inequivalent atoms, fractional coordinates:
Zr1 0.0000 0.0000 0.0000
Zr2 0.0000 0.0000 0.2461
Zr3 0.0000 0.0000 0.7455
Cu1 0.0000 0.0000 0.3747
Cu2 0.0000 0.0000 0.8675
Pb1 0.0000 0.0000 0.1279
Pb2 0.0000 0.0000 0.6148

* VASP energy: -39.78 eV per formula unit
* size of the total moment: 0.012 μB/f.u.

***

4.
Density functional theory data (PBE-GGA) for crystalline ErH2O2F at its relaxed geometry.

Unit cell a=5.927 b=3.479 c=6.009 alpha=90.00 beta=119.02 gamma=90.00
Space group P2_1/m (No. 11)
Inequivalent atoms, fractional coordinates:
Er1 0.159 0.250 0.323
H1 0.254 0.250 0.880
H2 0.369 0.750 0.741
O1 0.113 0.250 0.919
O2 0.193 0.750 0.603
F1 0.425 0.750 0.312

* energy above the lowest structure with this stoichiometry: 0.0000 eV per atom
* size of the total moment: 0.000 μB/f.u.

***

5.
Density functional theory data (PBE-GGA) for crystalline HoScGa2Pt4 at its relaxed geometry.

Unit cell a=4.3371 b=4.3371 c=8.9009 alpha=90.00 beta=90.00 gamma=120.00
Space group P-6m2 (No. 187)
Inequivalent atoms, fractional coordinates:
Ho1 0.0000 0.0000 0.0000
Sc1 0.6667 0.3333 0.5000
Ga1 0.3333 0.6667 0.2540
Pt1 0.0000 0.0000 0.3445
Pt2 0.6667 0.3333 0.1693

* VASP energy: -49.56 eV per formula unit
* size of the total moment: 0.003 μB/f.u.

***

6.
Density functional theory data (PBE-GGA) for crystalline ZnPdNO at its relaxed geometry.

Unit cell a=3.297 b=6.121 c=4.926 alpha=90.00 beta=90.00 gamma=90.00
Space group Pmc2_1 (No. 26)
Inequivalent atoms, fractional coordinates:
Zn1 0.000 0.147 0.000
Pd1 0.500 0.392 0.495
N1 0.500 0.301 0.883
O1 0.000 0.163 0.406

* energy above the lowest structure with this stoichiometry: 0.1185 eV per atom

***

7.
Density functional theory data (PBE-GGA) for crystalline Lu3SbCN at its relaxed geometry.

Unit cell a=3.4818 b=3.4818 c=20.4333 alpha=90.00 beta=90.00 gamma=120.00
Space group P-3m1 (No. 164)
Inequivalent atoms, fractional coordinates:
Lu1 0.0000 0.0000 0.0000
Lu2 0.0000 0.0000 0.5000
Lu3 0.3333 0.6667 0.1268
Lu4 0.3333 0.6667 0.3692
Sb1 0.0000 0.0000 0.2435
C1 0.3333 0.6667 0.5747
N1 0.3333 0.6667 0.9319

* VASP energy: -41.29 eV per formula unit
* size of the total moment: 0.006 μB/f.u.

***

8.
Density functional theory data (PBE-GGA) for crystalline MgFeCu4B2 at its relaxed geometry.

Unit cell a=3.677 b=3.677 c=6.467 alpha=90.00 beta=90.00 gamma=90.00
Space group P4/mmm (No. 123)
Inequivalent atoms, fractional coordinates:
Mg1 0.000 0.000 0.000
Fe1 0.500 0.500 0.500
Cu1 0.000 0.500 0.258
B1 0.000 0.000 0.500
B2 0.500 0.500 0.000

* energy above the lowest structure with this stoichiometry: 0.0000 eV per atom
* size of the total moment: 2.772 μB/f.u.

***

9.
Density functional theory data (PBE-GGA) for crystalline Sm3Tm2Sn3 at its relaxed geometry.

Unit cell a=9.0442 b=9.0442 c=6.5756 alpha=90.00 beta=90.00 gamma=120.00
Space group P6_3/mcm (No. 193)
Inequivalent atoms, fractional coordinates:
Sm1 0.0000 0.2408 0.2500
Tm1 0.3333 0.6667 0.0000
Sn1 0.0000 0.3981 0.7500

* VASP energy: -40.85 eV per formula unit
* size of the total moment: 0.013 μB/f.u.

***

10.
Density functional theory data (PBE-GGA) for crystalline Pr2Os2O5 at its relaxed geometry.

Unit cell a=3.596 b=3.596 c=9.803 alpha=90.00 beta=90.00 gamma=90.00
Space group P4/mmm (No. 123)
Inequivalent atoms, fractional coordinates:
Pr1 0.000 0.000 0.234
Os1 0.500 0.500 0.000
Os2 0.500 0.500 0.500
O1 0.000 0.000 0.000
O2 0.000 0.500 0.383

* energy above the lowest structure with this stoichiometry: 0.5337 eV per atom
* size of the total moment: 1.184 μB/f.u.

***

11.
Density functional theory data (PBE-GGA) for crystalline PmHoSc at its relaxed geometry.

Unit cell a=7.451 b=7.451 c=7.451 alpha=90.00 beta=90.00 gamma=90.00
Space group F-43m (No. 216)
Inequivalent atoms, fractional coordinates:
Pm1 0.000 0.000 0.000
Ho1 0.000 0.000 0.500
Sc1 0.250 0.250 0.750

* energy above the lowest structure with this stoichiometry: 0.0000 eV per atom
* size of the total moment: 0.036 μB/f.u.
* formation energy from the elements: 65.6 kJ per mole of atoms

***

12.
Density functional theory data (PBE-GGA) for crystalline ThP at its relaxed geometry.

Unit cell a=3.9478 b=3.9478 c=3.7615 alpha=90.00 beta=90.00 gamma=120.00
Space group P-6m2 (No. 187)
Inequivalent atoms, fractional coordinates:
Th1 0.0000 0.0000 0.0000
P1 0.3333 0.6667 0.5000

* VASP energy: -15.31 eV per formula unit
* size of the total moment: 0.293 μB/f.u.